P | A geometry-optimized AlVI2 structure, computed with PBE.

Unit cell a=8.405 b=8.405 c=7.149 alpha=90.00 beta=90.00 gamma=90.00
Sites, in units of the cell vectors:
Al 0.000 0.000 0.000
Al 0.000 0.500 0.250
Al 0.500 0.000 0.750
Al 0.500 0.500 0.500
V 0.000 0.000 0.500
V 0.000 0.500 0.750
V 0.500 0.000 0.250
V 0.500 0.500 0.000
I 0.185 0.250 0.625
I 0.250 0.685 0.875
I 0.250 0.815 0.375
I 0.315 0.250 0.125
I 0.685 0.750 0.125
I 0.750 0.185 0.375
I 0.750 0.315 0.875
I 0.815 0.750 0.625

Summary:
As for the space-group type: I-42d (122). The calculation puts the density at 4.362 Mg/m³. The volume is 505.1 Å³/cell. As for the magnetic moment: 4.0 μB/f.u. For the density of states at the Fermi level, the calculation gives 0.383 states/eV/atom.


Q | A geometry-optimized AlVI2 structure, computed with PBE.

Unit cell a=7.539 b=7.539 c=7.539 alpha=90.00 beta=90.00 gamma=90.00
Sites, in units of the cell vectors:
Al 0.000 0.000 0.000
Al 0.000 0.500 0.500
Al 0.500 0.000 0.500
Al 0.500 0.500 0.000
V 0.000 0.000 0.500
V 0.000 0.500 0.000
V 0.500 0.000 0.000
V 0.500 0.500 0.500
I 0.250 0.250 0.250
I 0.250 0.250 0.750
I 0.250 0.750 0.250
I 0.250 0.750 0.750
I 0.750 0.250 0.250
I 0.750 0.250 0.750
I 0.750 0.750 0.250
I 0.750 0.750 0.750

Summary:
As for the space-group type: Fm-3m (225). The calculation puts the density at 5.143 Mg/m³. The volume is 428.5 Å³/cell. As for the magnetic moment: 4.0 μB/f.u. For the density of states at the Fermi level, the calculation gives 1.273 states/eV/atom.


Energy ordering: P at the bottom, the next structure 177 meV/atom above.


P | A geometry-optimized AlVI3 structure, computed with PBE.

Unit cell a=5.617 b=5.617 c=5.617 alpha=90.00 beta=90.00 gamma=90.00
Sites, in units of the cell vectors:
Al 0.000 0.000 0.000
V 0.500 0.500 0.500
I 0.000 0.500 0.500
I 0.500 0.000 0.500
I 0.500 0.500 0.000

Summary:
As for the space-group type: Pm-3m (221). The calculation puts the density at 4.298 Mg/m³. The volume is 177.2 Å³/cell. As for the magnetic moment: 3.0 μB/f.u. For the density of states at the Fermi level, the calculation gives 0.335 states/eV/atom.


Q | A geometry-optimized AlVI3 structure, computed with PBE.

Unit cell a=5.610 b=5.610 c=5.610 alpha=90.00 beta=90.00 gamma=90.00
Sites, in units of the cell vectors:
Al 0.000 0.000 0.000
V 0.500 0.500 0.500
I 0.000 0.000 0.500
I 0.000 0.500 0.000
I 0.500 0.000 0.000

Summary:
As for the space-group type: Pm-3m (221). The calculation puts the density at 4.314 Mg/m³. The volume is 176.6 Å³/cell. As for the magnetic moment: 4.0 μB/f.u. For the density of states at the Fermi level, the calculation gives 2.110 states/eV/atom.


Energy ordering: P at the bottom, the next structure 426 meV/atom above.


P | A geometry-optimized AlV3I structure, computed with PBE.

Unit cell a=4.738 b=4.738 c=4.738 alpha=90.00 beta=90.00 gamma=90.00
Sites, in units of the cell vectors:
Al 0.000 0.000 0.000
V 0.000 0.500 0.500
V 0.500 0.000 0.500
V 0.500 0.500 0.000
I 0.500 0.500 0.500

Summary:
As for the space-group type: Pm-3m (221). The calculation puts the density at 4.789 Mg/m³. The volume is 106.4 Å³/cell. As for the magnetic moment: 1.4 μB/f.u. For the density of states at the Fermi level, the calculation gives 1.498 states/eV/atom.


Q | A geometry-optimized AlV3I structure, computed with PBE.

Unit cell a=4.831 b=4.831 c=4.831 alpha=90.00 beta=90.00 gamma=90.00
Sites, in units of the cell vectors:
Al 0.000 0.000 0.000
V 0.000 0.000 0.500
V 0.000 0.500 0.000
V 0.500 0.000 0.000
I 0.500 0.500 0.500

Summary:
As for the space-group type: Pm-3m (221). The calculation puts the density at 4.517 Mg/m³. The volume is 112.7 Å³/cell. As for the magnetic moment: 8.5 μB/f.u. For the density of states at the Fermi level, the calculation gives 1.565 states/eV/atom.


Energy ordering: Q at the bottom, the next structure 296 meV/atom above.


P | A geometry-optimized AlW2I structure, computed with PBE.

Unit cell a=6.488 b=6.488 c=6.488 alpha=90.00 beta=90.00 gamma=90.00
Sites, in units of the cell vectors:
Al 0.000 0.000 0.000
Al 0.000 0.500 0.500
Al 0.500 0.000 0.500
Al 0.500 0.500 0.000
W 0.250 0.250 0.250
W 0.250 0.250 0.750
W 0.250 0.750 0.250
W 0.250 0.750 0.750
W 0.750 0.250 0.250
W 0.750 0.250 0.750
W 0.750 0.750 0.250
W 0.750 0.750 0.750
I 0.000 0.000 0.500
I 0.000 0.500 0.000
I 0.500 0.000 0.000
I 0.500 0.500 0.500

Summary:
As for the space-group type: Fm-3m (225). The calculation puts the density at 12.685 Mg/m³. The volume is 273.1 Å³/cell. As for the magnetic moment: 0.0 μB/f.u. For the density of states at the Fermi level, the calculation gives 0.612 states/eV/atom.


Q | A geometry-optimized AlW2I structure, computed with PBE.

Unit cell a=4.151 b=4.151 c=18.868 alpha=90.00 beta=90.00 gamma=90.00
Sites, in units of the cell vectors:
Al 0.000 0.000 0.000
Al 0.000 0.500 0.250
Al 0.500 0.000 0.750
Al 0.500 0.500 0.500
W 0.187 0.250 0.125
W 0.250 0.687 0.375
W 0.250 0.813 0.875
W 0.313 0.250 0.625
W 0.687 0.750 0.625
W 0.750 0.187 0.875
W 0.750 0.313 0.375
W 0.813 0.750 0.125
I 0.000 0.000 0.500
I 0.000 0.500 0.750
I 0.500 0.000 0.250
I 0.500 0.500 0.000

Summary:
As for the space-group type: I-42d (122). The calculation puts the density at 10.657 Mg/m³. The volume is 325.1 Å³/cell. As for the magnetic moment: 0.0 μB/f.u. For the density of states at the Fermi level, the calculation gives 0.946 states/eV/atom.


Energy ordering: P at the bottom, the next structure 134 meV/atom above.


P | A geometry-optimized Al2WI structure, computed with PBE.

Unit cell a=6.699 b=6.699 c=6.699 alpha=90.00 beta=90.00 gamma=90.00
Sites, in units of the cell vectors:
Al 0.250 0.250 0.250
Al 0.250 0.250 0.750
Al 0.250 0.750 0.250
Al 0.250 0.750 0.750
Al 0.750 0.250 0.250
Al 0.750 0.250 0.750
Al 0.750 0.750 0.250
Al 0.750 0.750 0.750
W 0.000 0.000 0.000
W 0.000 0.500 0.500
W 0.500 0.000 0.500
W 0.500 0.500 0.000
I 0.000 0.000 0.500
I 0.000 0.500 0.000
I 0.500 0.000 0.000
I 0.500 0.500 0.500

Summary:
As for the space-group type: Fm-3m (225). The calculation puts the density at 8.056 Mg/m³. The volume is 300.7 Å³/cell. As for the magnetic moment: 0.0 μB/f.u. For the density of states at the Fermi level, the calculation gives 0.711 states/eV/atom.


Q | A geometry-optimized Al2WI structure, computed with PBE.

Unit cell a=6.597 b=6.597 c=11.469 alpha=90.00 beta=90.00 gamma=90.00
Sites, in units of the cell vectors:
Al 0.199 0.250 0.125
Al 0.250 0.699 0.375
Al 0.250 0.801 0.875
Al 0.301 0.250 0.625
Al 0.699 0.750 0.625
Al 0.750 0.199 0.875
Al 0.750 0.301 0.375
Al 0.801 0.750 0.125
W 0.000 0.000 0.000
W 0.000 0.500 0.250
W 0.500 0.000 0.750
W 0.500 0.500 0.500
I 0.000 0.000 0.500
I 0.000 0.500 0.750
I 0.500 0.000 0.250
I 0.500 0.500 0.000

Summary:
As for the space-group type: I-42d (122). The calculation puts the density at 4.853 Mg/m³. The volume is 499.2 Å³/cell. As for the magnetic moment: 0.7 μB/f.u. For the density of states at the Fermi level, the calculation gives 0.642 states/eV/atom.


Energy ordering: P at the bottom, the next structure 228 meV/atom above.


P | A geometry-optimized AlW2I2 structure, computed with PBE.

Unit cell a=3.687 b=3.687 c=18.578 alpha=90.00 beta=90.00 gamma=90.00
Sites, in units of the cell vectors:
Al 0.000 0.000 0.000
Al 0.500 0.500 0.500
W 0.000 0.500 0.250
W 0.000 0.500 0.750
W 0.500 0.000 0.250
W 0.500 0.000 0.750
I 0.000 0.000 0.382
I 0.000 0.000 0.618
I 0.500 0.500 0.118
I 0.500 0.500 0.882

Summary:
As for the space-group type: I4/mmm (139). The calculation puts the density at 8.528 Mg/m³. The volume is 252.5 Å³/cell. As for the magnetic moment: 0.0 μB/f.u. For the density of states at the Fermi level, the calculation gives 0.710 states/eV/atom.


Q | A geometry-optimized AlW2I2 structure, computed with PBE.

Unit cell a=8.498 b=8.498 c=3.202 alpha=90.00 beta=90.00 gamma=90.00
Sites, in units of the cell vectors:
Al 0.000 0.000 0.000
Al 0.500 0.500 0.000
W 0.100 0.400 0.500
W 0.400 0.900 0.500
W 0.600 0.100 0.500
W 0.900 0.600 0.500
I 0.187 0.687 0.000
I 0.313 0.187 0.000
I 0.687 0.813 0.000
I 0.813 0.313 0.000

Summary:
As for the space-group type: P4/mbm (127). The calculation puts the density at 9.313 Mg/m³. The volume is 231.3 Å³/cell. As for the magnetic moment: 0.0 μB/f.u. For the density of states at the Fermi level, the calculation gives 1.065 states/eV/atom.


Energy ordering: P at the bottom, the next structure 490 meV/atom above.